! MnAg2AsO4 | Alexandria | PBE with a Hubbard U | relaxed; values from VASP
! Magnetization: 5.0 μB per formula unit
! Calculated density: 5.45 g/cm³
! Space-group type: I-4 (82)
! Energy: -44.4 eV for the cell shown
&SYSTEM
  ibrav = 0, nat = 8, ntyp = 4
/
ATOMIC_SPECIES
Mn 54.94 Mn.upf
Ag 107.87 Ag.upf
As 74.92 As.upf
O 16.00 O.upf
CELL_PARAMETERS angstrom
-2.631 2.631 4.503
2.631 -2.631 4.503
2.631 2.631 -4.503
ATOMIC_POSITIONS angstrom
Mn 0.000 0.000 0.000
Ag 2.631 0.000 2.252
Ag 0.000 0.000 4.503
As 0.000 2.631 2.252
O 1.467 0.849 -1.237
O 1.782 -1.164 5.740
O 1.164 1.782 3.266
O 0.849 3.795 1.237